[1]
# MoAuBr | Alexandria via LeMat-Bulk | PBE-GGA | optimized geometry
data_MoAuBr
_space_group_name_H-M_alt 'P 1'
_space_group_IT_number 1
_space_group_name_Hall 'P 1'
_cell_length_a 8.013
_cell_length_b 7.673
_cell_length_c 3.146
_cell_angle_alpha 84.57
_cell_angle_beta 72.42
_cell_angle_gamma 23.01
loop_
_atom_site_label
_atom_site_type_symbol
_atom_site_fract_x
_atom_site_fract_y
_atom_site_fract_z
_atom_site_occupancy
Mo1 Mo 0.000 0.000 0.000 1
Au1 Au 0.346 0.346 0.654 1
Br1 Br 0.636 0.636 0.364 1
# DFT total energy = -0.172 Ha/atom
# raw formation energy = 0.567 eV per atom
# D(E_F) = 0.955 states/eV per atom
# distance to the lowest polymorph of the same formula = 241 meV/atom
# space-group type = Fmm2, No. 42
# M_tot = 0.3336 μB per atom

=====

[2]
# MoAu2Br8 | Alexandria via LeMat-Bulk | PBE-GGA | optimized geometry
data_MoAu2Br8
_space_group_name_H-M_alt 'P 1'
_space_group_IT_number 1
_space_group_name_Hall 'P 1'
_cell_length_a 6.913
_cell_length_b 7.544
_cell_length_c 8.720
_cell_angle_alpha 115.61
_cell_angle_beta 105.86
_cell_angle_gamma 90.04
loop_
_atom_site_label
_atom_site_type_symbol
_atom_site_fract_x
_atom_site_fract_y
_atom_site_fract_z
_atom_site_occupancy
Mo1 Mo 0.000 0.000 0.000 1
Au1 Au 0.026 0.256 0.514 1
Au2 Au 0.974 0.744 0.486 1
Br1 Br 0.219 0.859 0.179 1
Br2 Br 0.220 0.320 0.180 1
Br3 Br 0.222 0.892 0.784 1
Br4 Br 0.279 0.400 0.799 1
Br5 Br 0.721 0.600 0.201 1
Br6 Br 0.778 0.108 0.216 1
Br7 Br 0.780 0.680 0.820 1
Br8 Br 0.781 0.141 0.821 1
# DFT total energy = -0.111 Ha/atom
# raw formation energy = -0.217 eV per atom
# D(E_F) = 0.286 states/eV per atom
# space-group type = P-1, No. 2
# M_tot = 0.0107 μB per atom

=====

[3]
# Mo2AuBr | Alexandria via LeMat-Bulk | PBE-GGA | optimized geometry
data_Mo2AuBr
_space_group_name_H-M_alt 'P 1'
_space_group_IT_number 1
_space_group_name_Hall 'P 1'
_cell_length_a 3.306
_cell_length_b 3.670
_cell_length_c 6.614
_cell_angle_alpha 90.00
_cell_angle_beta 90.00
_cell_angle_gamma 90.00
loop_
_atom_site_label
_atom_site_type_symbol
_atom_site_fract_x
_atom_site_fract_y
_atom_site_fract_z
_atom_site_occupancy
Mo1 Mo 0.000 0.000 0.184 1
Mo2 Mo 0.000 0.000 0.816 1
Au1 Au 0.500 0.500 0.000 1
Br1 Br 0.000 0.500 0.500 1
# DFT total energy = -0.221 Ha/atom
# raw formation energy = 0.633 eV per atom
# D(E_F) = 0.849 states/eV per atom
# distance to the lowest polymorph of the same formula = 228 meV/atom
# space-group type = Pmmm, No. 47
# M_tot = 0.0000 μB per atom

=====

[4]
# Mo2AuBr | Alexandria via LeMat-Bulk | PBE-GGA | optimized geometry
data_Mo2AuBr
_space_group_name_H-M_alt 'P 1'
_space_group_IT_number 1
_space_group_name_Hall 'P 1'
_cell_length_a 10.506
_cell_length_b 10.506
_cell_length_c 10.506
_cell_angle_alpha 158.57
_cell_angle_beta 158.57
_cell_angle_gamma 30.49
loop_
_atom_site_label
_atom_site_type_symbol
_atom_site_fract_x
_atom_site_fract_y
_atom_site_fract_z
_atom_site_occupancy
Mo1 Mo 0.075 0.625 0.950 1
Mo2 Mo 0.375 0.325 0.450 1
Mo3 Mo 0.675 0.125 0.050 1
Mo4 Mo 0.875 0.925 0.550 1
Au1 Au 0.000 0.000 0.000 1
Au2 Au 0.750 0.250 0.500 1
Br1 Br 0.250 0.750 0.500 1
Br2 Br 0.500 0.500 0.000 1
# DFT total energy = -0.209 Ha/atom
# raw formation energy = 0.976 eV per atom
# D(E_F) = 0.775 states/eV per atom
# distance to the lowest polymorph of the same formula = 571 meV/atom
# space-group type = I-42d, No. 122
# M_tot = 0.0000 μB per atom

=====

[5]
# Mo2AuBr | Alexandria via LeMat-Bulk | PBE-GGA | optimized geometry
data_Mo2AuBr
_space_group_name_H-M_alt 'P 1'
_space_group_IT_number 1
_space_group_name_Hall 'P 1'
_cell_length_a 4.537
_cell_length_b 4.537
_cell_length_c 5.548
_cell_angle_alpha 99.38
_cell_angle_beta 99.38
_cell_angle_gamma 38.07
loop_
_atom_site_label
_atom_site_type_symbol
_atom_site_fract_x
_atom_site_fract_y
_atom_site_fract_z
_atom_site_occupancy
Mo1 Mo 0.250 0.250 0.238 1
Mo2 Mo 0.750 0.750 0.762 1
Au1 Au 0.000 0.000 0.500 1
Br1 Br 0.500 0.500 0.000 1
# DFT total energy = -0.217 Ha/atom
# raw formation energy = 0.761 eV per atom
# D(E_F) = 1.182 states/eV per atom
# distance to the lowest polymorph of the same formula = 357 meV/atom
# space-group type = C2/m, No. 12
# M_tot = 0.0000 μB per atom

=====

[6]
# NiMo2AuBr | Alexandria via LeMat-Bulk | PBE-GGA | optimized geometry
data_NiMo2AuBr
_space_group_name_H-M_alt 'P 1'
_space_group_IT_number 1
_space_group_name_Hall 'P 1'
_cell_length_a 5.256
_cell_length_b 5.256
_cell_length_c 5.108
_cell_angle_alpha 90.00
_cell_angle_beta 90.00
_cell_angle_gamma 90.00
loop_
_atom_site_label
_atom_site_type_symbol
_atom_site_fract_x
_atom_site_fract_y
_atom_site_fract_z
_atom_site_occupancy
Ni1 Ni 0.000 0.000 0.000 1
Mo1 Mo 0.000 0.500 0.500 1
Mo2 Mo 0.500 0.000 0.500 1
Au1 Au 0.500 0.500 0.500 1
Br1 Br 0.500 0.500 0.000 1
# DFT total energy = -0.154 Ha/atom
# raw formation energy = 2.282 eV per atom
# D(E_F) = 2.369 states/eV per atom
# space-group type = P4/mmm, No. 123
# M_tot = 1.7655 μB per atom